[1]
Density functional theory data (PBE) for an optimized crystal structure of Dy2Y2CBrCl4.

Unit cell a=8.713 b=8.713 c=8.047 alpha=103.80 beta=103.80 gamma=24.91
Fractional positions:
Dy 0.001 0.001 0.797
Dy 0.999 0.999 0.203
Br 0.500 0.500 0.500
Y 0.645 0.645 0.081
Y 0.355 0.355 0.919
Cl 0.171 0.171 0.846
Cl 0.835 0.835 0.669
Cl 0.829 0.829 0.154
Cl 0.165 0.165 0.331
C 0.500 0.500 0.000

Properties
**Space group**: No. 12
**Total energy**: -5.69 eV/atom

=====

[2]
Density functional theory data (PBE) for an optimized crystal structure of Dy2Y2CBr3Cl2.

Unit cell a=8.796 b=8.796 c=8.110 alpha=102.95 beta=102.95 gamma=24.87
Fractional positions:
Br 0.168 0.168 0.344
Br 0.832 0.832 0.656
Br 0.500 0.500 0.500
C 0.500 0.500 0.000
Y 0.356 0.356 0.925
Y 0.644 0.644 0.075
Dy 0.002 0.002 0.799
Dy 0.998 0.998 0.201
Cl 0.829 0.829 0.155
Cl 0.171 0.171 0.845

Properties
**Space group**: No. 12
**ΔE to the lowest computed polymorph**: 0.04 eV/f.u.
**Total energy**: -5.55 eV/atom

=====

no.,size of the total moment (Bohr magnetons per cell)
1,0.16
2,0.13